DFT (PBE) results for a relaxed BeCdPt3 crystal.

Values from the calculation:
Relative energy among the computed polymorphs ... 56.6 meV/atom
Formation energy ... -0.381 eV/atom
Crystal system ... monoclinic

Cell: 16.593 2.811 7.180 Å, 90.00 112.82 90.00°
Space group C2/m (No. 12)
Inequivalent atoms, fractional coordinates:
Be (0.088, 0.000, 0.129) (multiplicity 4)
Cd (0.116, 0.500, 0.567) (multiplicity 4)
Pt (0.014, 0.500, 0.814) (multiplicity 4)
Pt (0.174, 0.000, 0.941) (multiplicity 4)
Pt (0.211, 0.500, 0.314) (multiplicity 4)